# MgIrW2 | the Alexandria database | SCAN | PBEsol geometry
# E = -1.9790 Ha/atom
data_MgIrW2
_chemical_formula_sum 'Mg1 Ir1 W2'
_cell_length_a 2.784
_cell_length_b 2.784
_cell_length_c 8.126
_cell_angle_alpha 90.00
_cell_angle_beta 90.00
_cell_angle_gamma 90.00
_symmetry_space_group_name_H-M 'P 4 m m'
_symmetry_Int_Tables_number 99
loop_
_symmetry_equiv_pos_as_xyz
'x,y,z'
'-y,x,z'
'-x,-y,z'
'y,-x,z'
'-x,y,z'
'y,x,z'
'x,-y,z'
'-y,-x,z'
loop_
_atom_site_label
_atom_site_type_symbol
_atom_site_fract_x
_atom_site_fract_y
_atom_site_fract_z
_atom_site_occupancy
Mg1 Mg 0.000 0.000 0.000 1
Ir1 Ir 0.500 0.500 0.239 1
W1 W 0.000 0.000 0.455 1
W2 W 0.500 0.500 0.720 1


# Bi3PW | the Alexandria database | SCAN | PBEsol geometry
# E = -2.2793 Ha/atom
data_Bi3PW
_chemical_formula_sum 'Bi3 P1 W1'
_cell_length_a 5.264
_cell_length_b 5.264
_cell_length_c 5.264
_cell_angle_alpha 90.00
_cell_angle_beta 90.00
_cell_angle_gamma 90.00
_symmetry_space_group_name_H-M 'P m -3 m'
_symmetry_Int_Tables_number 221
_symmetry_space_group_name_Hall '-P 4 2 3'
loop_
_atom_site_label
_atom_site_type_symbol
_atom_site_fract_x
_atom_site_fract_y
_atom_site_fract_z
_atom_site_occupancy
Bi1 Bi 0.000 0.000 0.500 1
P1 P 0.500 0.500 0.500 1
W1 W 0.000 0.000 0.000 1


no.,theoretical density (g/cm3)
1,15.40
2,9.58